Entry 1:
The following is a DFT calculation (PBE-GGA) of K2PtCl4 after structural relaxation.

For the density of states at the Fermi level, the calculation gives 0.00 states/eV/cell. The uncorrected formation energy comes out at -1.341 eV per atom. The value obtained for the calculated density is 3.21 g/cm³.

It has space group P4/mmm (No. 123), with a = 7.120 Å, b = 7.120 Å, c = 4.234 Å, α = 90.00°, β = 90.00° and γ = 90.00°. The distinct sites, in fractional coordinates, are K at (0.000, 0.500, 0.000), Pt at (0.000, 0.000, 0.500) and Cl at (0.231, 0.231, 0.500).

Entry 2:
The following is a DFT calculation (PBE-GGA) of PuScSe2 after structural relaxation.

For the density of states at the Fermi level, the calculation gives 7.24 states/eV/cell. The uncorrected formation energy comes out at -1.512 eV per atom. The value obtained for the calculated density is 7.99 g/cm³. The value obtained for the excess energy over the best structure of this formula in the dataset is 0.25 eV/f.u.

It has space group P-3m1 (No. 164), with a = 3.9194 Å, b = 3.9194 Å, c = 6.9805 Å, α = 90.00°, β = 90.00° and γ = 120.00°. The distinct sites, in fractional coordinates, are Pu at (0.0000, 0.0000, 0.0000), Sc at (0.0000, 0.0000, 0.5000) and Se at (0.3333, 0.6667, 0.7278).

Entry 3:
The following is a DFT calculation (PBE-GGA) of LaNd2Te4 after structural relaxation.

For the density of states at the Fermi level, the calculation gives 9.73 states/eV/cell. The uncorrected formation energy comes out at -1.506 eV per atom. The value obtained for the calculated density is 5.98 g/cm³. The value obtained for the excess energy over the best structure of this formula in the dataset is 0.00 eV/f.u.

It has space group Imma (No. 74), with a = 9.027 Å, b = 9.124 Å, c = 12.644 Å, α = 90.00°, β = 90.00° and γ = 90.00°. The distinct sites, in fractional coordinates, are La at (0.000, 0.000, 0.000), Nd at (0.000, 0.000, 0.500), Nd at (0.250, 0.250, 0.250), Te at (0.000, 0.002, 0.251) and Te at (0.247, 0.250, 0.506).

Entry 4:
The following is a DFT calculation (PBE-GGA) of SrDyHg after structural relaxation.

Its calculated formation energy is -0.15 eV per atom. For the density of states at the Fermi level, the calculation gives 2.70 states/eV/cell. The value obtained for the calculated density is 7.37 g/cm³. The value obtained for the excess energy over the best structure of this formula in the dataset is 0.35 eV/f.u.

It has space group P-6m2 (No. 187), with a = 5.2632 Å, b = 5.2632 Å, c = 4.2357 Å, α = 90.00°, β = 90.00° and γ = 120.00°. The distinct sites, in fractional coordinates, are Sr at (0.0000, 0.0000, 0.0000), Dy at (0.6667, 0.3333, 0.5000) and Hg at (0.3333, 0.6667, 0.5000).

Entry 5:
The following is a DFT calculation (PBE-GGA) of YBeIn after structural relaxation.

Its calculated formation energy is -0.24 eV per atom. For the density of states at the Fermi level, the calculation gives 6.94 states/eV/cell. The value obtained for the calculated density is 5.61 g/cm³. The value obtained for the excess energy over the best structure of this formula in the dataset is 0.10 eV/f.u.

It has space group Imm2 (No. 44), with a = 4.454 Å, b = 7.334 Å, c = 7.713 Å, α = 90.00°, β = 90.00° and γ = 90.00°. The distinct sites, in fractional coordinates, are Y at (0.000, 0.000, 0.000), Y at (0.000, 0.500, 0.009), Be at (0.000, 0.192, 0.335) and In at (0.000, 0.250, 0.670).

Entry 6:
The following is a DFT calculation (PBE-GGA) of KNdCu2Br8 after structural relaxation.

For the density of states at the Fermi level, the calculation gives 26.44 states/eV/cell. The uncorrected formation energy comes out at -0.975 eV per atom. The value obtained for the calculated density is 4.28 g/cm³.

It has space group I-4 (No. 82), with a = 6.921 Å, b = 6.921 Å, c = 15.374 Å, α = 90.00°, β = 90.00° and γ = 90.00°. The distinct sites, in fractional coordinates, are K at (0.000, 0.000, 0.000), Nd at (0.000, 0.500, 0.250), Cu at (0.000, 0.000, 0.500), Cu at (0.000, 0.500, 0.750), Br at (0.132, 0.268, 0.416) and Br at (0.165, 0.772, 0.815).